A geometry-optimized SrScCoB2 structure, computed with PBE.

Cell lengths 4.4899, 4.4899, 5.3870 Å; angles 90.00, 90.00, 90.00 degrees
With the nearest neighbours (Å) after each atom.
Space group P4/mmm (No. 123)
Asymmetric unit:
1 Sr 0.0000 0.0000 0.0000  4 B 2.24
2 Sc 0.0000 0.0000 0.5000  2 Sr 2.69
3 Co 0.5000 0.5000 0.5000  4 Sc 3.17, 8 B 3.51
4 B 0.0000 0.5000 0.0000  2 Sr 2.24

Computed properties:
**Energy relative to the elements**: 2.79 eV per atom
**Spin magnetization**: 0.055 μB per atom

A geometry-optimized Sr2ScCoB structure, computed with PBE.

Cell lengths 5.6203, 5.6203, 4.5831 Å; angles 90.00, 90.00, 90.00 degrees
With the nearest neighbours (Å) after each atom.
Space group P4/mmm (No. 123)
Asymmetric unit:
1 Sr 0.0000 0.5000 0.0000  2 Co 2.81
2 Sc 0.0000 0.0000 0.5000  2 Co 2.29
3 Co 0.0000 0.0000 0.0000  2 Sc 2.29
4 B 0.5000 0.5000 0.5000  8 Sr 3.63, 4 Sc 3.97

Computed properties:
**Energy relative to the elements**: 0.90 eV per atom
**Spin magnetization**: 0.000 μB per atom

A geometry-optimized SrScCo2B structure, computed with PBE.

Cell lengths 4.6085, 4.6085, 4.7349 Å; angles 90.00, 90.00, 90.00 degrees
With the nearest neighbours (Å) after each atom.
Space group P4/mmm (No. 123)
Asymmetric unit:
1 Sr 0.0000 0.0000 0.0000  4 B 3.26, 8 Co 3.30
2 Sc 0.5000 0.5000 0.5000  4 Co 2.30, 2 B 2.37
3 Co 0.0000 0.5000 0.5000  2 Sc 2.30
4 B 0.5000 0.5000 0.0000  2 Sc 2.37

Computed properties:
**Energy relative to the elements**: 1.01 eV per atom
**Spin magnetization**: 0.289 μB per atom

A geometry-optimized Sc2TaCo5B2 structure, computed with PBE.

Cell lengths 8.7809, 8.7809, 3.0571 Å; angles 90.00, 90.00, 90.00 degrees
With the nearest neighbours (Å) after each atom.
Space group P4/mbm (No. 127)
Asymmetric unit:
1 Sc 0.1745 0.3255 0.0000  3 B 2.57-2.62, 10 Co 2.65-2.78
2 Ta 0.0000 0.0000 0.0000  8 Co 2.57
3 Co 0.0000 0.5000 0.5000  4 B 2.12
4 Co 0.0700 0.7758 0.5000  2 B 2.10
5 B 0.1186 0.6186 0.0000  6 Co 2.10-2.12

Computed properties:
**Energy relative to the elements**: -0.51 eV per atom
**Spin magnetization**: 0.000 μB per atom

A geometry-optimized Sc2Co5TcB2 structure, computed with PBE.

Cell lengths 8.8727, 8.8727, 2.9228 Å; angles 90.00, 90.00, 90.00 degrees
With the nearest neighbours (Å) after each atom.
Space group P4/mbm (No. 127)
Asymmetric unit:
1 Sc 0.1772 0.3228 0.0000  3 B 2.57-2.67, 10 Co 2.66-2.76
2 Co 0.0000 0.5000 0.5000  4 B 2.08
3 Co 0.0687 0.7730 0.5000  2 B 2.05
4 Tc 0.0000 0.0000 0.0000  8 Co 2.56
5 B 0.1177 0.6177 0.0000  6 Co 2.05-2.08

Computed properties:
**Energy relative to the elements**: -0.39 eV per atom
**Spin magnetization**: 0.169 μB per atom

A geometry-optimized Sc2TiCo5B2 structure, computed with PBE.

Cell lengths 8.7819, 8.7819, 2.9882 Å; angles 90.00, 90.00, 90.00 degrees
With the nearest neighbours (Å) after each atom.
Space group P4/mbm (No. 127)
Asymmetric unit:
1 Sc 0.1750 0.3250 0.0000  3 B 2.55-2.63, 10 Co 2.64-2.77
2 Ti 0.0000 0.0000 0.0000  8 Co 2.54
3 Co 0.0000 0.5000 0.5000  4 B 2.11
4 Co 0.0696 0.7769 0.5000  2 B 2.08
5 B 0.1197 0.6197 0.0000  6 Co 2.08-2.11

Computed properties:
**Energy relative to the elements**: -0.55 eV per atom
**Spin magnetization**: 0.000 μB per atom

A geometry-optimized Sc2VCo5B2 structure, computed with PBE.

Cell lengths 8.6492, 8.6492, 3.0051 Å; angles 90.00, 90.00, 90.00 degrees
With the nearest neighbours (Å) after each atom.
Space group P4/mbm (No. 127)
Asymmetric unit:
1 Sc 0.1748 0.3252 0.0000  3 B 2.50-2.60, 10 Co 2.61-2.75
2 V 0.0000 0.0000 0.0000  8 Co 2.48
3 Co 0.0000 0.5000 0.5000  4 B 2.10
4 Co 0.0689 0.7823 0.5000  2 B 2.10
5 B 0.1204 0.6204 0.0000  6 Co 2.10

Computed properties:
**Energy relative to the elements**: -0.48 eV per atom
**Spin magnetization**: 0.000 μB per atom

A geometry-optimized Sc2Co5B2W structure, computed with PBE.

Cell lengths 8.8042, 8.8042, 2.9978 Å; angles 90.00, 90.00, 90.00 degrees
With the nearest neighbours (Å) after each atom.
Space group P4/mbm (No. 127)
Asymmetric unit:
1 Sc 0.1762 0.3238 0.0000  3 B 2.58-2.63, 10 Co 2.66-2.77
2 Co 0.0000 0.5000 0.5000  4 B 2.09
3 Co 0.0694 0.7755 0.5000  2 B 2.09
4 B 0.1168 0.6168 0.0000  6 Co 2.09
5 W 0.0000 0.0000 0.0000  8 Co 2.55

Computed properties:
**Energy relative to the elements**: -0.41 eV per atom
**Spin magnetization**: 0.096 μB per atom